# 1
ZrCd2Pb, relaxed, DFT GGA-PBE; N(E_F) = 1.70 states/eV/f.u.; calculated formation energy = 17.0 kJ per mole of atoms; total energy = -26.76 eV for the cell shown; magnetic moment = 0.00 Bohr magnetons per cell
1.0
-4.1202 4.1202 2.9925
4.1202 -4.1202 2.9925
4.1202 4.1202 -2.9925
Zr Cd Pb
2 4 2
direct
0.0000 0.0000 0.0000 Zr
0.7500 0.2500 0.5000 Zr
0.1257 0.6250 0.0007 Cd
0.3750 0.3757 0.5007 Cd
0.6243 0.1250 0.9993 Cd
0.8750 0.8743 0.4993 Cd
0.2500 0.7500 0.5000 Pb
0.5000 0.5000 0.0000 Pb

# 2
ZrCdPb4, relaxed, DFT GGA-PBE; N(E_F) = 6.27 states/eV/f.u.; calculated formation energy = 38.5 kJ per mole of atoms; total energy = -21.90 eV for the cell shown; magnetic moment = 0.92 Bohr magnetons per cell
1.0
0.0000 4.4818 4.4818
4.4818 0.0000 4.4818
4.4818 4.4818 0.0000
Zr Cd Pb
1 1 4
direct
0.0000 0.0000 0.0000 Zr
0.7500 0.7500 0.7500 Cd
0.3743 0.3743 0.3743 Pb
0.3743 0.3743 0.8770 Pb
0.3743 0.8770 0.3743 Pb
0.8770 0.3743 0.3743 Pb

# 3
ZrCd2Pb2, relaxed, DFT GGA-PBE; offset from the most stable computed form = 0 meV/atom; N(E_F) = 4.04 states/eV/f.u.; calculated formation energy = 19.7 kJ per mole of atoms; total energy = -33.55 eV for the cell shown; magnetic moment = 0.00 Bohr magnetons per cell
1.0
8.1845 0.0000 0.0000
0.0000 8.1845 0.0000
0.0000 0.0000 3.8284
Zr Cd Pb
2 4 4
direct
0.0000 0.0000 0.0000 Zr
0.5000 0.5000 0.0000 Zr
0.1248 0.3752 0.0000 Cd
0.3752 0.8752 0.0000 Cd
0.6248 0.1248 0.0000 Cd
0.8752 0.6248 0.0000 Cd
0.1780 0.6780 0.5000 Pb
0.3220 0.1780 0.5000 Pb
0.6780 0.8220 0.5000 Pb
0.8220 0.3220 0.5000 Pb

# 4
Cd3Pd2, relaxed, DFT GGA-PBE; offset from the most stable computed form = 0 meV/atom; N(E_F) = 1.83 states/eV/f.u.; calculated formation energy = -30.9 kJ per mole of atoms; total energy = -29.46 eV for the cell shown; magnetic moment = 0.00 Bohr magnetons per cell
1.0
3.2744 0.0000 0.0000
0.0000 3.2744 0.0000
0.0000 0.0000 17.1854
Cd Pd
6 4
direct
0.0000 0.0000 0.0000 Cd
0.0000 0.0000 0.1903 Cd
0.0000 0.0000 0.3812 Cd
0.0000 0.0000 0.6188 Cd
0.0000 0.0000 0.8097 Cd
0.5000 0.5000 0.5000 Cd
0.5000 0.5000 0.0950 Pd
0.5000 0.5000 0.2859 Pd
0.5000 0.5000 0.7141 Pd
0.5000 0.5000 0.9050 Pd

# 5
Cd7Pd5, relaxed, DFT GGA-PBE; N(E_F) = 4.45 states/eV/f.u.; calculated formation energy = -25.3 kJ per mole of atoms; total energy = -35.52 eV for the cell shown; magnetic moment = 0.00 Bohr magnetons per cell
1.0
6.4253 -1.4979 0.0000
6.4253 1.4979 0.0000
-1.2843 0.0000 11.9709
Cd Pd
7 5
direct
0.0000 0.0000 0.0000 Cd
0.1794 0.1794 0.5883 Cd
0.3016 0.3016 0.8217 Cd
0.4639 0.4639 0.2534 Cd
0.5361 0.5361 0.7466 Cd
0.6984 0.6984 0.1783 Cd
0.8206 0.8206 0.4117 Cd
0.1328 0.1328 0.3572 Pd
0.3335 0.3335 0.0576 Pd
0.5000 0.5000 0.5000 Pd
0.6665 0.6665 0.9424 Pd
0.8672 0.8672 0.6428 Pd

# 6
Cd2Pd5, relaxed, DFT GGA-PBE; offset from the most stable computed form = 0 meV/atom; N(E_F) = 4.37 states/eV/f.u.; calculated formation energy = -25.5 kJ per mole of atoms; total energy = -59.28 eV for the cell shown; magnetic moment = 0.00 Bohr magnetons per cell
1.0
6.3966 -2.4380 0.0000
6.3966 2.4380 0.0000
-0.4730 0.0000 7.4339
Cd Pd
4 10
direct
0.1058 0.7413 0.8952 Cd
0.2587 0.8942 0.6048 Cd
0.7413 0.1058 0.3952 Cd
0.8942 0.2587 0.1048 Cd
0.0389 0.3887 0.8187 Pd
0.1792 0.5313 0.5377 Pd
0.3214 0.6786 0.2500 Pd
0.3887 0.0389 0.3187 Pd
0.4687 0.8208 0.9623 Pd
0.5313 0.1792 0.0377 Pd
0.6113 0.9611 0.6813 Pd
0.6786 0.3214 0.7500 Pd
0.8208 0.4687 0.4623 Pd
0.9611 0.6113 0.1813 Pd

# 7
Cd3Pd7, relaxed, DFT GGA-PBE; N(E_F) = 9.81 states/eV/f.u.; calculated formation energy = -27.3 kJ per mole of atoms; total energy = -41.92 eV for the cell shown; magnetic moment = 0.00 Bohr magnetons per cell
1.0
7.2779 -2.0586 0.0000
7.2779 2.0586 0.0000
-1.3430 0.0000 5.5358
Cd Pd
3 7
direct
0.0000 0.0000 0.0000 Cd
0.1960 0.1960 0.6111 Cd
0.8040 0.8040 0.3889 Cd
0.0000 0.0000 0.5000 Pd
0.2008 0.2008 0.1075 Pd
0.3994 0.3994 0.6942 Pd
0.4003 0.4003 0.1921 Pd
0.5997 0.5997 0.8079 Pd
0.6006 0.6006 0.3058 Pd
0.7992 0.7992 0.8925 Pd

# 8
Cd5Pd, relaxed, DFT GGA-PBE; N(E_F) = 2.10 states/eV/f.u.; calculated formation energy = -15.1 kJ per mole of atoms; total energy = -21.41 eV for the cell shown; magnetic moment = 0.00 Bohr magnetons per cell
1.0
-3.4358 3.4358 5.5668
3.4358 -3.4358 5.5668
3.4358 3.4358 -5.5668
Cd Pd
10 2
direct
0.0000 0.0000 0.0000 Cd
0.0175 0.5175 0.8131 Cd
0.2043 0.0175 0.5000 Cd
0.2957 0.7957 0.8131 Cd
0.4825 0.2957 0.5000 Cd
0.5000 0.5000 0.0000 Cd
0.5175 0.7043 0.5000 Cd
0.7043 0.2043 0.1869 Cd
0.7957 0.9825 0.5000 Cd
0.9825 0.4825 0.1869 Cd
0.2500 0.2500 0.0000 Pd
0.7500 0.7500 0.0000 Pd

# 9
Cd3Pd2, relaxed, DFT GGA-PBE; offset from the most stable computed form = 14 meV/atom; N(E_F) = 1.39 states/eV/f.u.; calculated formation energy = -29.5 kJ per mole of atoms; total energy = -14.66 eV for the cell shown; magnetic moment = 0.00 Bohr magnetons per cell
1.0
4.2961 -2.1617 0.0000
4.2961 2.1617 0.0000
-3.6483 0.0000 4.9380
Cd Pd
3 2
direct
0.0000 0.0000 0.0000 Cd
0.2026 0.2026 0.6233 Cd
0.7974 0.7974 0.3767 Cd
0.4087 0.4087 0.2041 Pd
0.5913 0.5913 0.7959 Pd

# 10
Cd3Pd5, relaxed, DFT GGA-PBE; offset from the most stable computed form = 22 meV/atom; N(E_F) = 3.23 states/eV/f.u.; calculated formation energy = -31.0 kJ per mole of atoms; total energy = -31.28 eV for the cell shown; magnetic moment = 0.00 Bohr magnetons per cell
1.0
3.0284 0.0000 0.0000
0.0000 3.0284 0.0000
0.0000 0.0000 14.7527
Cd Pd
3 5
direct
0.0000 0.0000 0.0000 Cd
0.5000 0.5000 0.3712 Cd
0.5000 0.5000 0.6288 Cd
0.0000 0.0000 0.2471 Pd
0.0000 0.0000 0.5000 Pd
0.0000 0.0000 0.7529 Pd
0.5000 0.5000 0.1249 Pd
0.5000 0.5000 0.8751 Pd

# 11
CdPd4, relaxed, DFT GGA-PBE; offset from the most stable computed form = 1055 meV/atom; N(E_F) = 6.94 states/eV/f.u.; calculated formation energy = 103.1 kJ per mole of atoms; total energy = -16.35 eV for the cell shown; magnetic moment = 0.00 Bohr magnetons per cell
1.0
4.9095 0.0000 0.0000
0.0000 4.9095 0.0000
0.0000 0.0000 4.9095
Cd Pd
1 4
direct
0.0000 0.0000 0.0000 Cd
0.0000 0.0000 0.5000 Pd
0.0000 0.5000 0.0000 Pd
0.5000 0.0000 0.0000 Pd
0.5000 0.5000 0.5000 Pd

# 12
Cd6Pd5, relaxed, DFT GGA-PBE; N(E_F) = 3.19 states/eV/f.u.; calculated formation energy = -34.8 kJ per mole of atoms; total energy = -35.42 eV for the cell shown; magnetic moment = 0.00 Bohr magnetons per cell
1.0
2.3103 -6.9530 0.0000
2.3103 6.9530 0.0000
0.0000 0.0000 6.4204
Cd Pd
6 5
direct
0.0000 0.0000 0.2338 Cd
0.0000 0.0000 0.7662 Cd
0.3368 0.6632 0.2471 Cd
0.3368 0.6632 0.7529 Cd
0.6632 0.3368 0.2471 Cd
0.6632 0.3368 0.7529 Cd
0.1610 0.8390 0.5000 Pd
0.1713 0.8287 0.0000 Pd
0.5000 0.5000 0.5000 Pd
0.8287 0.1713 0.0000 Pd
0.8390 0.1610 0.5000 Pd